## Cu4I3Br2 (GGA-PBE)

Data for a geometry-optimized Cu4I3Br2 structure.

```
18
Lattice="6.979 0.764 0.547 1.084 9.095 -3.569 1.084 -0.448 9.760" Properties=species:S:1:pos:R:3 pbc="T T T"
Cu 2.208 0.210 2.088
Cu 3.450 6.985 6.938
Cu 6.939 9.201 4.650
Cu 5.698 2.426 -0.201
Cu 7.485 2.860 3.316
Cu 5.152 5.732 5.373
Cu 1.662 6.551 3.421
Cu 3.996 3.679 1.365
I 7.731 9.487 -0.779
I 4.906 7.473 -2.221
I 1.416 -0.076 7.517
I 4.242 1.937 8.959
I 2.829 5.939 1.242
I 6.319 3.472 5.495
Br 2.988 2.193 3.137
Br 2.671 5.352 5.399
Br 6.160 7.217 3.600
Br 6.477 4.059 1.339
```

Properties
Energy relative to the elements, uncorrected: -0.1784 eV/atom
Fermi-level density of states: 0.965 states/eV/atom